# Pr6Sb2As3I

A relaxed Pr6Sb2As3I crystal (PBE-GGA, the Alexandria database).

abc: 4.4011 8.9659 9.9617
angles: 104.06 102.76 90.00
With the nearest neighbours (Å) after each atom.
Positions (direct):
Pr 0.6766 0.0771 0.3533  3 As 2.98-3.07, 2 Sb 3.20, 1 I 3.33
Pr 0.0043 0.7218 0.0086  3 As 2.95-3.03, 1 Sb 3.20
Pr 0.6640 0.5906 0.3280  3 As 3.09, 3 Sb 3.22
Pr 0.9957 0.2782 0.9914  3 As 2.95-3.03, 1 Sb 3.20
Pr 0.3234 0.9229 0.6467  3 As 2.98-3.07, 2 Sb 3.20, 1 I 3.33
As 0.5000 0.5000 0.0000  6 Pr 2.95-3.09
Sb 0.1649 0.3288 0.3298  6 Pr 3.20-3.22
As 0.8352 0.1664 0.6704  6 Pr 2.98-3.09
As 0.1648 0.8336 0.3296  6 Pr 2.98-3.09
I 0.5000 0.0000 0.0000  6 Pr 3.33-3.34
Pr 0.3360 0.4094 0.6720  3 As 3.09, 3 Sb 3.22
Sb 0.8351 0.6712 0.6702  6 Pr 3.20-3.22

Uncorrected formation energy in kJ/mol of atoms: -129.95

---

# Pr6Sb3As2I

A relaxed Pr6Sb3As2I crystal (PBE-GGA, the Alexandria database).

abc: 4.4665 9.0056 9.9879
angles: 102.29 102.92 90.00
With the nearest neighbours (Å) after each atom.
Positions (direct):
I 0.5000 0.0000 0.0000  6 Pr 3.29-3.35
Sb 0.8398 0.1648 0.6796  6 Pr 3.12-3.27
Sb 0.5000 0.5000 0.0000  6 Pr 3.07-3.25
Pr 0.6759 0.1039 0.3518  2 As 3.07, 3 Sb 3.12-3.26, 1 I 3.35
Pr 0.9911 0.7286 0.9822  1 As 3.03, 3 Sb 3.07-3.22, 2 I 3.29
Sb 0.1602 0.8352 0.3204  6 Pr 3.12-3.27
Pr 0.3241 0.8961 0.6482  2 As 3.07, 3 Sb 3.12-3.26, 1 I 3.35
Pr 0.3292 0.4247 0.6584  3 As 3.06-3.11, 3 Sb 3.25-3.27
Pr 0.0089 0.2714 0.0178  1 As 3.03, 3 Sb 3.07-3.22, 2 I 3.29
Pr 0.6708 0.5753 0.3416  3 As 3.06-3.11, 3 Sb 3.25-3.27
As 0.1685 0.3345 0.3370  6 Pr 3.03-3.11
As 0.8315 0.6655 0.6630  6 Pr 3.03-3.11

Uncorrected formation energy in kJ/mol of atoms: -122.46

---

# Pr4AsSe2I

A relaxed Pr4AsSe2I crystal (PBE-GGA, the Alexandria database).

abc: 4.3414 7.4838 7.6644
angles: 70.73 90.00 90.00
With the nearest neighbours (Å) after each atom.
Positions (direct):
Pr 0.5000 0.7558 0.2762  3 Se 2.89-3.16, 2 As 3.03
Pr 0.5000 0.2442 0.7238  3 Se 2.89-3.16, 2 As 3.03
Pr 0.0000 0.2230 0.2874  3 Se 2.89-3.17, 1 As 3.03
I 0.5000 0.5000 0.0000  6 Pr 3.29
As 0.0000 0.5000 0.5000  6 Pr 3.03
Pr 0.0000 0.7770 0.7126  3 Se 2.89-3.17, 1 As 3.03
Se 0.5000 0.0000 0.5000  6 Pr 2.89
Se 0.0000 0.0000 0.0000  6 Pr 3.16-3.17

Uncorrected formation energy in kJ/mol of atoms: -147.89

---

no.,V (Å³ per atom),total energy (eV per atom)
1,30.94,-5.72
2,31.84,-5.59
3,29.38,-5.57